DFT (PBE) results for crystalline La2ErTe at its relaxed geometry.

Computed properties:
space group = R-3m, No. 166
formation energy from raw total energies = -0.32 eV per atom
Fermi-level density of states = 17.4 states/eV/cell
total moment = 1.15 μB per cell

Unit cell a=3.9085 b=3.9085 c=33.1126 alpha=90.00 beta=90.00 gamma=120.00
With the nearest neighbours (Å) after each atom.
Fractional coordinates of all 12 atoms:
La 0.0000 0.0000 0.0996  3 Te 3.17, 1 Er 3.30
La 0.0000 0.0000 0.9004  3 Te 3.17, 1 Er 3.30
La 0.3333 0.6667 0.5671  3 Te 3.17, 1 Er 3.30
La 0.3333 0.6667 0.7662  3 Te 3.17, 1 Er 3.30
La 0.6667 0.3333 0.2338  3 Te 3.17, 1 Er 3.30
La 0.6667 0.3333 0.4329  3 Te 3.17, 1 Er 3.30
Er 0.0000 0.0000 0.0000  2 La 3.30
Er 0.3333 0.6667 0.6667  2 La 3.30
Er 0.6667 0.3333 0.3333  2 La 3.30
Te 0.0000 0.0000 0.5000  6 La 3.17
Te 0.3333 0.6667 0.1667  6 La 3.17
Te 0.6667 0.3333 0.8333  6 La 3.17

***

DFT (PBE) results for crystalline TeIr2Se at its relaxed geometry.

Computed properties:
space group = R3m, No. 160
formation energy from raw total energies = 0.11 eV per atom
Fermi-level density of states = 9.4 states/eV/cell
total moment = 0.00 μB per cell

Unit cell a=3.8527 b=3.8527 c=21.2730 alpha=90.00 beta=90.00 gamma=120.00
With the nearest neighbours (Å) after each atom.
Fractional coordinates of all 12 atoms:
Te 0.0000 0.0000 0.0000  3 Ir 2.54
Te 0.3333 0.6667 0.6667  3 Ir 2.54
Te 0.6667 0.3333 0.3333  3 Ir 2.54
Ir 0.0000 0.0000 0.2757  3 Te 2.54, 3 Ir 2.84
Ir 0.0000 0.0000 0.5259  3 Se 2.40
Ir 0.3333 0.6667 0.1926  3 Se 2.40
Ir 0.3333 0.6667 0.9423  3 Te 2.54, 3 Ir 2.84
Ir 0.6667 0.3333 0.6090  3 Te 2.54, 3 Ir 2.84
Ir 0.6667 0.3333 0.8593  3 Se 2.40
Se 0.0000 0.0000 0.8169  3 Ir 2.40
Se 0.3333 0.6667 0.4836  3 Ir 2.40
Se 0.6667 0.3333 0.1503  3 Ir 2.40

***

Record order is preserved below.
Volume: 438 273 Å³ per cell